{
  "formula": "CrSeO2",
  "functional": "PBE+U",
  "state": "relaxed",
  "lattice": [[5.701, 0.000, 0.000], [0.000, 5.701, 0.000], [2.851, 2.851, 4.031]],
  "species": ["O", "O", "O", "O", "Cr", "Cr", "Se", "Se"],
  "fractional_positions": [[0.374, 0.625, 0.250], [0.875, 0.626, 0.750], [0.376, 0.125, 0.250], [0.375, 0.624, 0.750], [0.500, 0.500, 0.000], [0.250, 0.750, 0.500], [0.750, 0.250, 0.500], [0.000, 0.000, 0.000]],
  "magnetic_moment_mub_per_cell": 0.0,
  "crystal_system": "tetragonal",
  "sg": "I-42d",
  "final_energy_ev_per_atom": -5.5345
}